CsNa6 | GGA-PBE | optimized geometry Values from VASP.

The calculation puts the calculated total energy at -1.15 eV/atom. The calculation puts the magnetization at 0.00 μB/cell. The value obtained for the energy relative to the elements is 102 meV per atom. As for the space-group type: P4/mmm, No. 123.

Structure (Quantum ESPRESSO input):
```
&SYSTEM
  ibrav = 0, nat = 7, ntyp = 2
/
ATOMIC_SPECIES
Cs 132.91 Cs.upf
Na 22.99 Na.upf
CELL_PARAMETERS angstrom
-3.3453 -4.4237 1.8852
4.3472 -3.7638 -1.1179
3.5485 1.3130 9.3779
ATOMIC_POSITIONS angstrom
Cs 0.0000 0.0000 0.0000
Na 1.7742 0.6565 4.6890
Na 0.5010 -4.0938 0.3836
Na 0.7892 -1.3009 7.4487
Na 3.2603 -1.4798 2.3129
Na -0.5860 -1.8098 3.8145
Na 4.6354 -0.9710 5.9471
```